PmSmDy2Tl4 | Alexandria via LeMat-Bulk | PBE | optimized geometry; E_form = -0.36 eV per atom; DFT total energy = -31.0 eV for the cell shown; M_tot = 0.000 μB per formula unit
1.0
2.710 1.564 8.861
-2.710 1.564 8.861
0.000 -3.129 8.861
Pm Sm Dy Tl
1 1 2 4
Direct
0.000 0.000 0.000
0.500 0.500 0.500
0.250 0.250 0.250
0.750 0.750 0.750
0.125 0.125 0.125
0.375 0.375 0.375
0.625 0.625 0.625
0.875 0.875 0.875